A plane-wave DFT calculation with PBE was carried out for an optimized crystal structure of Nd4Cu3Hg.

Unit cell a=3.9209 b=4.6777 c=10.9800 alpha=90.00 beta=90.00 gamma=90.00
With the nearest neighbours (Å) after each atom.
Fractional positions:
Nd: 0.0000 0.0000 0.0000  6 Cu 2.92-3.13
Nd: 0.0000 0.5000 0.2670  7 Cu 2.96-3.15
Nd: 0.5000 0.0000 0.4717  5 Cu 3.02-3.17, 2 Hg 3.20
Nd: 0.5000 0.5000 0.7779  3 Cu 3.15-3.19, 4 Hg 3.16
Cu: 0.0000 0.5000 0.5487  2 Hg 2.88, 7 Nd 3.09-3.19
Cu: 0.5000 0.0000 0.1966  2 Cu 2.75, 3 Nd 2.92-3.02
Cu: 0.5000 0.5000 0.0651  2 Cu 2.75, 2 Nd 2.96
Hg: 0.0000 0.0000 0.7022  2 Cu 2.88, 6 Nd 3.16-3.20

Summary:
energy of formation = -1.7 eV per formula unit

A plane-wave DFT calculation with PBE was carried out for an optimized crystal structure of Al6Ni.

Unit cell a=4.9568 b=4.9568 c=8.9503 alpha=90.00 beta=90.00 gamma=80.15
With the nearest neighbours (Å) after each atom.
Fractional positions:
Al: 0.0235 0.6108 0.2500  2 Ni 2.51-2.65, 3 Al 2.77-2.79
Al: 0.1422 0.8578 0.6023  1 Ni 2.45, 4 Al 2.58-2.74
Al: 0.1422 0.8578 0.8977  1 Ni 2.45, 4 Al 2.58-2.74
Al: 0.3190 0.3190 0.0000  2 Ni 2.63, 9 Al 2.74-2.92
Al: 0.3190 0.3190 0.5000  2 Ni 2.63, 9 Al 2.74-2.92
Al: 0.3892 0.9765 0.2500  2 Ni 2.51-2.65, 3 Al 2.77-2.79
Al: 0.6108 0.0235 0.7500  2 Ni 2.51-2.65, 3 Al 2.77-2.79
Al: 0.6810 0.6810 0.0000  2 Ni 2.63, 9 Al 2.74-2.92
Al: 0.6810 0.6810 0.5000  2 Ni 2.63, 9 Al 2.74-2.92
Al: 0.8578 0.1422 0.1023  1 Ni 2.45, 4 Al 2.58-2.74
Al: 0.8578 0.1422 0.3977  1 Ni 2.45, 4 Al 2.58-2.74
Al: 0.9765 0.3892 0.7500  2 Ni 2.51-2.65, 3 Al 2.77-2.79
Ni: 0.4658 0.5342 0.7500  10 Al 2.45-2.65
Ni: 0.5342 0.4658 0.2500  10 Al 2.45-2.65

Summary:
energy of formation = -1.1 eV per formula unit

| no. | energy (eV/atom) |
| --- | --- |
| 1 | -4.17 |
| 2 | -4.19 |